Entry 1:
Crystalline VFe2Cu3O6 at its relaxed geometry. Source: the Alexandria database, functional GGA+U.

Calculated values
The mass density comes out at 5.7 g cm⁻³. Its space group is P-3m1. The value obtained for the final energy is -70.73 eV per cell.

Cell and atoms, written as POSCAR:
```
VFe2Cu3O6
1.0
2.963 0.000 0.000
-1.481 2.566 0.000
0.000 0.000 17.265
V Fe Cu O
1 2 3 6
Cartesian
0.000 0.000 0.000
0.000 1.711 11.479
1.481 0.855 5.787
0.000 0.000 8.633
0.000 1.711 2.944
1.481 0.855 14.321
0.000 0.000 6.789
0.000 0.000 10.476
0.000 1.711 1.083
0.000 1.711 4.783
1.481 0.855 12.483
1.481 0.855 16.182
```

Entry 2:
Crystalline V6Fe4Cu3O24 at its relaxed geometry. Source: the Alexandria database, functional GGA+U.

Calculated values
The mass density comes out at 3.9 g cm⁻³. Its space group is P-1. The value obtained for the final energy is -251.47 eV per cell.

Cell and atoms, written as POSCAR:
```
V6Fe4Cu3O24
1.0
6.589 0.000 0.000
-1.764 7.895 0.000
-2.202 -3.556 8.991
V Fe Cu O
6 4 3 24
Cartesian
-0.155 1.627 1.108
-0.344 0.128 6.677
-0.505 4.675 5.966
3.128 -0.337 3.025
2.967 4.211 2.313
2.778 2.712 7.882
-0.128 -1.005 3.557
-0.582 2.843 8.910
3.205 1.496 0.081
2.751 5.344 5.434
-0.272 4.849 1.646
1.312 2.169 4.495
2.895 -0.510 7.345
-1.852 -0.800 6.671
-0.368 0.297 2.192
-1.864 5.538 5.139
-0.294 6.144 0.135
-0.106 3.022 2.119
1.318 1.471 0.245
0.243 0.464 5.014
-0.681 1.582 7.448
-0.087 3.236 5.199
0.000 6.520 3.164
-0.783 4.387 7.710
1.699 5.052 1.371
0.924 -0.714 7.620
3.407 -0.048 1.281
2.623 -2.181 5.827
2.711 1.102 3.792
3.304 2.757 1.542
2.380 3.875 3.977
1.305 2.868 8.746
2.730 1.317 6.872
2.917 -1.805 8.856
4.487 -1.199 3.852
2.991 4.042 6.798
4.475 5.138 2.320
```

Entry 3:
Crystalline VFe3Cu4O8 at its relaxed geometry. Source: the Alexandria database, functional GGA+U.

Calculated values
The mass density comes out at 5.7 g cm⁻³. Its space group is R-3m. The value obtained for the final energy is -92.72 eV per cell.

Cell and atoms, written as POSCAR:
```
VFe3Cu4O8
1.0
1.488 0.859 22.950
-1.488 0.859 22.950
0.000 -1.718 22.950
V Fe Cu O
1 3 4 8
Cartesian
0.000 0.000 0.000
0.000 0.000 17.166
0.000 0.000 34.426
0.000 0.000 51.686
0.000 0.000 8.628
0.000 0.000 25.893
0.000 0.000 42.958
0.000 0.000 60.223
0.000 0.000 6.792
0.000 0.000 10.472
0.000 0.000 24.030
0.000 0.000 27.726
0.000 0.000 41.126
0.000 0.000 44.821
0.000 0.000 58.380
0.000 0.000 62.059
```

Entry 4:
Crystalline V4FeCuO12 at its relaxed geometry. Source: the Alexandria database, functional GGA+U.

Calculated values
The mass density comes out at 3.4 g cm⁻³. Its space group is C2. The value obtained for the final energy is -128.81 eV per cell.

Cell and atoms, written as POSCAR:
```
V4FeCuO12
1.0
5.035 -4.521 0.000
5.035 4.521 0.000
-2.044 0.000 5.550
V Fe Cu O
4 1 1 12
Cartesian
1.011 0.000 2.721
2.077 -1.635 0.012
7.015 0.000 2.829
5.948 -1.635 5.538
4.013 -1.564 2.775
5.035 0.029 0.000
3.471 1.298 0.055
0.940 -0.737 1.099
0.046 -0.952 3.882
2.643 -0.088 3.238
4.554 1.298 5.495
3.652 -1.488 0.747
5.382 -0.088 2.312
2.554 -2.914 2.921
4.373 -1.488 4.803
7.085 -0.737 4.450
7.980 -0.952 1.668
5.472 -2.914 2.629
```

Entry 5:
Crystalline VFeCu2O4 at its relaxed geometry. Source: the Alexandria database, functional GGA+U.

Calculated values
The mass density comes out at 5.2 g cm⁻³. Its space group is R-3m. The value obtained for the final energy is -51.45 eV per cell.

Cell and atoms, written as POSCAR:
```
VFeCu2O4
1.0
1.543 0.891 11.499
-1.543 0.891 11.499
0.000 -1.781 11.499
V Fe Cu O
1 1 2 4
Cartesian
0.000 0.000 0.000
0.000 0.000 17.249
0.000 0.000 8.624
0.000 0.000 25.874
0.000 0.000 6.779
0.000 0.000 10.474
0.000 0.000 24.023
0.000 0.000 27.719
```

Entry 6:
Crystalline YbFe4Cu3O12 at its relaxed geometry. Source: the Alexandria database, functional GGA+U.

Calculated values
The mass density comes out at 6.2 g cm⁻³. Its space group is Im-3. The value obtained for the final energy is -120.77 eV per cell.

Cell and atoms, written as POSCAR:
```
YbFe4Cu3O12
1.0
-3.727 3.727 3.727
3.727 -3.727 3.727
3.727 3.727 -3.727
Yb Fe Cu O
1 4 3 12
Cartesian
0.000 0.000 0.000
1.863 1.863 -1.863
1.863 -1.863 1.863
-1.863 1.863 1.863
1.863 1.863 1.863
3.727 0.000 0.000
0.000 3.727 0.000
0.000 0.000 3.727
3.727 2.488 -1.415
2.312 0.000 1.239
5.142 0.000 1.239
1.239 2.312 0.000
2.488 -1.415 3.727
0.000 1.239 2.312
3.727 2.488 1.415
1.239 5.142 0.000
2.488 1.415 3.727
-1.415 3.727 2.488
1.415 3.727 2.488
0.000 1.239 5.142
```

Entry 7:
Crystalline ZnFe4Cu3O12 at its relaxed geometry. Source: the Alexandria database, functional GGA+U.

Calculated values
The mass density comes out at 5.5 g cm⁻³. Its space group is Im-3. The value obtained for the final energy is -114.28 eV per cell.

Cell and atoms, written as POSCAR:
```
ZnFe4Cu3O12
1.0
-3.702 3.702 3.702
3.702 -3.702 3.702
3.702 3.702 -3.702
Zn Fe Cu O
1 4 3 12
Cartesian
0.000 0.000 0.000
1.851 1.851 -1.851
1.851 -1.851 1.851
-1.851 1.851 1.851
1.851 1.851 1.851
3.702 0.000 0.000
0.000 3.702 0.000
0.000 0.000 3.702
3.702 -1.392 2.459
2.310 1.243 0.000
5.095 1.243 0.000
2.459 3.702 -1.392
1.243 0.000 2.310
0.000 2.310 1.243
3.702 1.392 2.459
2.459 3.702 1.392
1.243 0.000 5.095
-1.392 2.459 3.702
1.392 2.459 3.702
0.000 5.095 1.243
```

Entry 8:
Crystalline ZnFe4CuO8 at its relaxed geometry. Source: the Alexandria database, functional GGA+U.

Calculated values
The mass density comes out at 5.1 g cm⁻³. Its space group is R3m. The value obtained for the final energy is -85.76 eV per cell.

Cell and atoms, written as POSCAR:
```
ZnFe4CuO8
1.0
3.028 1.748 4.883
-3.028 1.748 4.883
0.000 -3.497 4.883
Zn Fe Cu O
1 4 1 8
Cartesian
0.000 0.000 0.000
-1.535 -0.886 6.666
0.000 0.000 3.575
1.535 -0.886 6.666
0.000 1.772 6.666
0.000 0.000 9.127
0.000 -1.665 7.821
-1.442 0.833 7.821
0.000 0.000 5.552
-1.409 -0.813 10.435
1.442 0.833 7.821
0.000 0.000 12.650
1.409 -0.813 10.435
0.000 1.627 10.435
```